Density functional theory data (PBE with a Hubbard U) for a relaxed structure of FeIrO2.

ΔE to the lowest computed polymorph: 0.61 eV/f.u.
Total magnetic moment: 3.0 Bohr magnetons per cell

Lattice parameters (Å, degrees): 6.039 6.039 6.039 30.58 30.58 30.58
Site moments in Bohr magnetons follow the coordinates.
Element x y z (fractional)
Ir1 0.500 0.500 0.500  -0.01
Fe1 0.000 0.000 0.000  3.30
O1 0.888 0.888 0.888  -0.03
O2 0.112 0.112 0.112  -0.03